## LaZrCu2N (PBE)

Data for crystalline LaZrCu2N at its relaxed geometry.

Lattice parameters (Å, degrees): 5.023 5.023 5.486 90.00 90.00 90.00
Fractional positions:
La 0.000 0.000 0.000
Zr 0.000 0.000 0.500
Cu 0.000 0.500 0.000
Cu 0.500 0.000 0.000
N 0.500 0.500 0.500

Calculated values
formation energy (no corrections) = 2332 meV/atom
VASP energy = -3.666 eV/atom